1.
{"formula": "TaCr4Sb", "functional": "PBE-GGA", "state": "relaxed", "lattice_angstrom": [[0.000, 3.480, 3.480], [3.480, 0.000, 3.480], [3.480, 3.480, 0.000]], "species": ["Cr", "Cr", "Cr", "Cr", "Sb", "Ta"], "fractional_positions": [[0.375, 0.874, 0.375], [0.874, 0.375, 0.375], [0.375, 0.375, 0.375], [0.375, 0.375, 0.874], [0.750, 0.750, 0.750], [0.000, 0.000, 0.000]], "vol_a3_per_atom": 14.1, "e_tot_ev_per_atom": -8.990, "crystal_system": "cubic", "n_ef_per_ev_cell": 4.697}

=====

2.
{"formula": "Ta2CrSb", "functional": "PBE-GGA", "state": "relaxed", "lattice_angstrom": [[-1.939, -1.446, 2.726], [-0.707, -3.558, -2.391], [3.684, -1.838, 1.646]], "species": ["Cr", "Ta", "Ta", "Sb"], "fractional_positions": [[0.500, 0.000, 0.500], [0.500, 0.500, 0.000], [0.000, 0.000, 0.000], [0.000, 0.500, 0.500]], "vol_a3_per_atom": 17.6, "e_tot_ev_per_atom": -9.231, "relative_energy_ev_per_atom": 0.000, "crystal_system": "orthorhombic", "n_ef_per_ev_cell": 3.736}

=====

3.
{"formula": "Ta2CrSb", "functional": "PBE-GGA", "state": "relaxed", "lattice_angstrom": [[3.450, 0.000, 0.000], [0.000, 3.447, 0.000], [0.000, 0.000, 5.885]], "species": ["Ta", "Ta", "Sb", "Cr"], "fractional_positions": [[0.000, 0.000, 0.016], [0.000, 0.000, 0.484], [0.500, 0.500, 0.750], [0.500, 0.500, 0.250]], "vol_a3_per_atom": 17.5, "e_tot_ev_per_atom": -9.158, "relative_energy_ev_per_atom": 0.073, "crystal_system": "tetragonal", "n_ef_per_ev_cell": 4.100}

=====

4.
{"formula": "Ta2CrSb", "functional": "PBE-GGA", "state": "relaxed", "lattice_angstrom": [[-5.016, -0.589, 1.321], [-2.907, -2.364, -3.635], [4.562, -1.042, 2.314]], "species": ["Ta", "Ta", "Cr", "Sb"], "fractional_positions": [[0.250, 0.750, 0.500], [0.000, 0.000, 0.000], [0.500, 0.500, 0.000], [0.750, 0.250, 0.500]], "vol_a3_per_atom": 17.6, "e_tot_ev_per_atom": -9.143, "relative_energy_ev_per_atom": 0.088, "crystal_system": "tetragonal", "n_ef_per_ev_cell": 3.923}

=====

We obtain energy relative to the elements, uncorrected values of 0.088 0.132 0.205 0.220 eV/atom for the records listed above, in that order.